Entry from Alexandria: an optimized crystal structure of VSO2 (PBE with a Hubbard U).

a b c (Å): 6.2042 6.2042 6.2042
angles (deg): 29.13 29.13 29.13
Atoms (fractional coordinates):
V 0.0000 0.0000 0.0000
S 0.5000 0.5000 0.5000
O 0.3898 0.3898 0.3898
O 0.6102 0.6102 0.6102

Output
* DFT total energy: -6.43 eV/atom
* spin magnetization: 2.000 Bohr magnetons per cell
* space group: R-3m (166)